(1)
Entry from Alexandria: a PBEsol-optimized structure of CaLaOs (meta-GGA SCAN).

Cell: 4.7037 4.7037 4.7037 Å, 60.00 60.00 60.00°
Positions (direct):
Ca1 0.2500 0.2500 0.2500
Os1 0.5000 0.5000 0.5000
La1 0.0000 0.0000 0.0000

- energy (eV per atom) = -40.61
- space-group type = F-43m (216)
- formation energy from the elements (eV/f.u.) = 2.812

***

(2)
Entry from Alexandria: a PBEsol-optimized structure of Y2Ru (meta-GGA SCAN).

Cell: 3.3330 3.3330 13.5623 Å, 97.06 97.06 90.00°
Positions (direct):
Y1 0.6889 0.1889 0.3778
Y2 0.8111 0.3111 0.6222
Y3 0.4389 0.4389 0.8778
Y4 0.5611 0.5611 0.1222
Ru1 0.0000 0.0000 0.0000
Ru2 0.2500 0.7500 0.5000

- energy (eV per atom) = -30.53
- space-group type = I4_1/amd (141)
- formation energy from the elements (eV/f.u.) = -1.073

***

(3)
Entry from Alexandria: a PBEsol-optimized structure of MgZn4In (meta-GGA SCAN).

Cell: 5.2346 5.2346 5.2346 Å, 60.00 60.00 60.00°
Positions (direct):
Zn1 0.3743 0.3743 0.3743
Zn2 0.3743 0.3743 0.8771
Zn3 0.8771 0.3743 0.3743
Zn4 0.3743 0.8771 0.3743
Mg1 0.0000 0.0000 0.0000
In1 0.7500 0.7500 0.7500

- energy (eV per atom) = -15.43
- space-group type = F-43m (216)
- formation energy from the elements (eV/f.u.) = -0.166

***

(4)
Entry from Alexandria: a PBEsol-optimized structure of Ca3Cr (meta-GGA SCAN).

Cell: 4.0592 5.7153 6.5619 Å, 115.82 108.02 90.00°
Each line ends with the local moment (μB).
Positions (direct):
Cr1 0.0000 0.5000 0.0000  4.12
Ca1 0.7164 0.7164 0.4327  -0.02
Ca2 0.5000 0.0000 0.0000  -0.01
Ca3 0.2836 0.2836 0.5673  -0.02

- energy (eV per atom) = -11.63
- space-group type = Immm (71)
- formation energy from the elements (eV/f.u.) = 0.837

***

(5)
Entry from Alexandria: a PBEsol-optimized structure of Cr2AgP (meta-GGA SCAN).

Cell: 3.8553 3.8553 3.5138 Å, 90.00 90.00 90.00°
Each line ends with the local moment (μB).
Positions (direct):
Ag1 0.0000 0.0000 0.5000  -0.03
Cr1 0.0000 0.5000 0.0000  2.24
Cr2 0.5000 0.0000 0.0000  2.24
P1 0.5000 0.5000 0.5000  -0.16

- energy (eV per atom) = -19.30
- space-group type = P4/mmm (123)
- formation energy from the elements (eV/f.u.) = 1.321

***

(6)
Entry from Alexandria: a PBEsol-optimized structure of MnNi3Sb (meta-GGA SCAN).

Cell: 4.5311 4.5311 4.5311 Å, 90.00 90.00 90.00°
Each line ends with the local moment (μB).
Positions (direct):
Sb1 0.0000 0.0000 0.0000  0.01
Mn1 0.5000 0.5000 0.5000  4.55
Ni1 0.0000 0.5000 0.0000  -0.02
Ni2 0.0000 0.0000 0.5000  -0.02
Ni3 0.5000 0.0000 0.0000  -0.02

- energy relative to the elements, uncorrected (eV per atom) = 0.844
- energy (eV per atom) = -19.96
- space-group type = Pm-3m (221)

***

(7)
Entry from Alexandria: a PBEsol-optimized structure of InReRu2 (meta-GGA SCAN).

Cell: 2.9517 4.5163 4.5163 Å, 90.00 90.00 90.00°
Positions (direct):
In1 0.5000 0.5000 0.5000
Re1 0.5000 0.0000 0.0000
Ru1 0.0000 0.0000 0.5000
Ru2 0.0000 0.5000 0.0000

- energy (eV per atom) = -43.19
- space-group type = P4/mmm (123)
- formation energy from the elements (eV/f.u.) = 1.377

***

(8)
Entry from Alexandria: a PBEsol-optimized structure of CdPO3 (meta-GGA SCAN).

Cell: 3.6573 3.6573 3.6573 Å, 90.00 90.00 90.00°
Positions (direct):
P1 0.0000 0.0000 0.0000
O1 0.0000 0.5000 0.0000
O2 0.0000 0.0000 0.5000
O3 0.5000 0.0000 0.0000
Cd1 0.5000 0.5000 0.5000

- energy relative to the elements, uncorrected (eV per atom) = -1.128
- energy (eV per atom) = -13.03
- space-group type = Pm-3m (221)

***

Which of these has the lowest energy?
InReRu2